[1]
Compound: LaZrTa2
Source: Alexandria
Functional: PBE
Structure: relaxed

Crystal system: orthorhombic
Energy above the lowest structure with this stoichiometry: 287 meV per atom

a b c (Å): 3.3896 4.9551 5.1966
angles (deg): 90.00 90.00 90.00
Last column: nearest neighbours and their distance in Å.
Space group Pmmm (No. 47)
Symmetry-distinct sites (fractional):
La 0.0000 0.0000 0.0000  4 Zr 3.00, 4 Ta 3.10
Zr 0.5000 0.5000 0.0000  4 La 3.00, 4 Ta 3.10
Ta 0.0000 0.5000 0.5000  4 Ta 3.00, 4 Zr 3.10
Ta 0.5000 0.0000 0.5000  4 Ta 3.00, 4 La 3.10


[2]
Compound: ZnCd2Ni
Source: Alexandria
Functional: PBE
Structure: relaxed

Crystal system: monoclinic

a b c (Å): 10.0053 3.2124 4.5658
angles (deg): 90.00 110.93 90.00
Last column: nearest neighbours and their distance in Å.
Space group C2/m (No. 12)
Symmetry-distinct sites (fractional):
Zn 0.0000 0.0000 0.0000  4 Ni 2.79, 6 Cd 2.94-3.04
Cd 0.2257 0.0000 0.7287  2 Ni 2.66, 4 Cd 2.81-2.84, 1 Zn 2.94
Ni 0.0000 0.5000 0.5000  4 Cd 2.66, 4 Zn 2.79


[3]
Compound: Ce2SmDyIn4
Source: Alexandria
Functional: PBE
Structure: relaxed

Crystal system: trigonal

a b c (Å): 5.4154 5.4154 26.5808
angles (deg): 90.00 90.00 120.00
Last column: nearest neighbours and their distance in Å.
Space group R-3m (No. 166, hexagonal axes)
Symmetry-distinct sites (fractional):
Ce 0.0000 0.0000 0.2504  8 In 3.29-3.35
Sm 0.0000 0.0000 0.5000  8 In 3.32-3.34
Dy 0.0000 0.0000 0.0000  8 In 3.30-3.31
In 0.0000 0.0000 0.1242  1 Dy 3.30, 4 Ce 3.31-3.35, 3 Sm 3.32
In 0.0000 0.0000 0.3743  4 Ce 3.29-3.32, 3 Dy 3.31, 1 Sm 3.34


| no. | E_form (eV/atom) |
| --- | --- |
| 1 | 0.493 |
| 2 | 0.102 |
| 3 | -0.401 |